ZrTlBr2 | PBE-GGA | relaxed

Values from the calculation:
DOS at the Fermi energy = 5.501 states/eV per cell
volume = 234 Å³ per cell
ρ = 6461 kg/m³
final energy = -4.18 eV per atom
E_form (uncorrected) = -0.613 eV/atom

Cell: 3.376 6.503 10.662 Å, 90.00 90.00 90.00°
Space group Cmmm (No. 65)
Inequivalent atoms, fractional coordinates:
Zr (0.000, 0.000, 0.000)
Tl (0.000, 0.000, 0.500)
Br (0.000, 0.500, 0.202)